# KAlSi

A relaxed structure of KAlSi (PBE, Alexandria).

Calculated total energy = -3.17 eV per atom

Cell lengths 6.810, 12.110, 5.733 Å; angles 90.00, 90.00, 90.00 degrees
Atoms (fractional coordinates):
K  0.000  0.183  0.250
K  0.000  0.817  0.750
K  0.500  0.317  0.750
K  0.500  0.683  0.250
Al  0.000  0.500  0.000
Al  0.000  0.500  0.500
Al  0.500  0.000  0.000
Al  0.500  0.000  0.500
Si  0.000  0.346  0.750
Si  0.000  0.654  0.250
Si  0.500  0.154  0.250
Si  0.500  0.846  0.750